The following is a DFT calculation (PBE+U) of a geometry-optimized ZnCoNO structure.

Spin magnetization in μB/cell: 4.58
VASP energy in eV/cell: -41.7
Polymorph energy (0 for the lowest one) in eV per formula unit: 0.00

Unit cell a=3.073 b=5.608 c=5.294 alpha=90.00 beta=90.00 gamma=90.00
Space group Pmc2_1 (No. 26)
Inequivalent atoms, fractional coordinates:
Zn (0.000, 0.157, 0.000)
Co (0.500, 0.336, 0.485)
N (0.000, 0.175, 0.374)
O (0.500, 0.341, 0.854)